1.
{"formula": "Tb2SmPuAs4", "functional": "GGA-PBE", "state": "relaxed", "spacegroup": "No. 10", "dos_ef_per_ev_atom": 1.69, "formation_enthalpy_0k_ev_per_atom": -1.40, "lattice": [[7.190, 0.000, 0.000], [0.000, 4.163, 0.000], [-2.398, 0.000, 6.783]], "species": ["Tb", "Tb", "Sm", "Pu", "As", "As", "As", "As"], "frac_coords": [[0.000, 0.000, 0.000], [0.000, 0.500, 0.500], [0.500, 0.000, 0.500], [0.500, 0.500, 0.000], [0.248, 0.500, 0.246], [0.250, 0.000, 0.754], [0.750, 0.000, 0.246], [0.752, 0.500, 0.754]]}

2.
{"formula": "Nd2SmHf", "functional": "GGA-PBE", "state": "relaxed", "polymorph_energy_ev_per_atom": 0.211, "spacegroup": "No. 166", "dos_ef_per_ev_atom": 1.38, "formation_enthalpy_0k_ev_per_atom": 0.40, "lattice": [[3.399, 0.000, 0.000], [-1.700, 2.944, 0.000], [0.000, 0.000, 36.977]], "species": ["Nd", "Nd", "Nd", "Nd", "Nd", "Nd", "Sm", "Sm", "Sm", "Hf", "Hf", "Hf"], "frac_coords": [[0.000, 0.000, 0.084], [0.000, 0.000, 0.916], [0.333, 0.667, 0.582], [0.333, 0.667, 0.751], [0.667, 0.333, 0.249], [0.667, 0.333, 0.418], [0.000, 0.000, 0.500], [0.333, 0.667, 0.167], [0.667, 0.333, 0.833], [0.000, 0.000, 0.000], [0.333, 0.667, 0.667], [0.667, 0.333, 0.333]]}

3.
{"formula": "Li14CaTl", "functional": "GGA-PBE", "state": "relaxed", "spacegroup": "No. 38", "dos_ef_per_ev_atom": 0.55, "formation_enthalpy_0k_ev_per_atom": -0.02, "lattice": [[9.959, 0.000, 0.000], [0.000, 3.423, 4.981], [0.000, -3.423, 4.981]], "species": ["Li", "Li", "Li", "Li", "Li", "Li", "Li", "Li", "Li", "Li", "Li", "Li", "Li", "Li", "Ca", "Tl"], "frac_coords": [[0.000, 0.000, 0.000], [0.000, 0.490, 0.490], [0.000, 0.503, 0.984], [0.000, 0.984, 0.503], [0.238, 0.206, 0.729], [0.238, 0.729, 0.206], [0.245, 0.210, 0.210], [0.258, 0.725, 0.725], [0.500, 0.439, 0.959], [0.500, 0.959, 0.439], [0.742, 0.725, 0.725], [0.755, 0.210, 0.210], [0.762, 0.206, 0.729], [0.762, 0.729, 0.206], [0.500, 0.454, 0.454], [0.500, 0.946, 0.946]]}

4.
{"formula": "CsErPb2", "functional": "GGA-PBE", "state": "relaxed", "polymorph_energy_ev_per_atom": 0.165, "spacegroup": "No. 166", "dos_ef_per_ev_atom": 0.59, "formation_enthalpy_0k_ev_per_atom": -0.13, "lattice": [[3.822, 0.000, 0.000], [-1.911, 3.310, 0.000], [0.000, 0.000, 34.025]], "species": ["Cs", "Cs", "Cs", "Er", "Er", "Er", "Pb", "Pb", "Pb", "Pb", "Pb", "Pb"], "frac_coords": [[0.000, 0.000, 0.000], [0.333, 0.667, 0.667], [0.667, 0.333, 0.333], [0.000, 0.000, 0.500], [0.333, 0.667, 0.167], [0.667, 0.333, 0.833], [0.000, 0.000, 0.239], [0.000, 0.000, 0.761], [0.333, 0.667, 0.428], [0.333, 0.667, 0.906], [0.667, 0.333, 0.094], [0.667, 0.333, 0.572]]}

5.
{"formula": "UNi4SnAs2", "functional": "GGA-PBE", "state": "relaxed", "spacegroup": "No. 123", "dos_ef_per_ev_atom": 1.26, "formation_enthalpy_0k_ev_per_atom": -0.30, "lattice": [[3.732, 0.000, 0.000], [0.000, 3.732, 0.000], [0.000, 0.000, 9.358]], "species": ["U", "Ni", "Ni", "Ni", "Ni", "Sn", "As", "As"], "frac_coords": [[0.000, 0.000, 0.000], [0.000, 0.500, 0.303], [0.000, 0.500, 0.697], [0.500, 0.000, 0.303], [0.500, 0.000, 0.697], [0.000, 0.000, 0.500], [0.500, 0.500, 0.152], [0.500, 0.500, 0.848]]}

6.
{"formula": "AcIrPb2O6", "functional": "GGA-PBE", "state": "relaxed", "e_form_raw_ev_per_atom": -1.501, "spacegroup": "No. 14", "dos_ef_per_ev_atom": 0.51, "lattice": [[5.696, 0.000, 0.000], [0.000, 6.519, 0.000], [-5.651, 0.000, 8.692]], "species": ["Ac", "Ac", "Ir", "Ir", "Pb", "Pb", "Pb", "Pb", "O", "O", "O", "O", "O", "O", "O", "O", "O", "O", "O", "O"], "frac_coords": [[0.000, 0.000, 0.000], [0.000, 0.500, 0.500], [0.500, 0.000, 0.500], [0.500, 0.500, 0.000], [0.213, 0.050, 0.718], [0.213, 0.450, 0.218], [0.787, 0.550, 0.782], [0.787, 0.950, 0.282], [0.181, 0.160, 0.483], [0.181, 0.340, 0.983], [0.262, 0.744, 0.943], [0.262, 0.756, 0.443], [0.362, 0.051, 0.278], [0.362, 0.449, 0.778], [0.638, 0.551, 0.222], [0.638, 0.949, 0.722], [0.738, 0.244, 0.557], [0.738, 0.256, 0.057], [0.819, 0.660, 0.017], [0.819, 0.840, 0.517]]}

7.
{"formula": "ErScInGa", "functional": "GGA-PBE", "state": "relaxed", "polymorph_energy_ev_per_atom": 0.029, "spacegroup": "No. 216", "dos_ef_per_ev_atom": 0.45, "formation_enthalpy_0k_ev_per_atom": -0.47, "lattice": [[7.121, 0.000, 0.000], [0.000, 7.121, 0.000], [0.000, 0.000, 7.121]], "species": ["Er", "Er", "Er", "Er", "Sc", "Sc", "Sc", "Sc", "In", "In", "In", "In", "Ga", "Ga", "Ga", "Ga"], "frac_coords": [[0.000, 0.000, 0.000], [0.000, 0.500, 0.500], [0.500, 0.000, 0.500], [0.500, 0.500, 0.000], [0.000, 0.000, 0.500], [0.000, 0.500, 0.000], [0.500, 0.000, 0.000], [0.500, 0.500, 0.500], [0.250, 0.250, 0.750], [0.250, 0.750, 0.250], [0.750, 0.250, 0.250], [0.750, 0.750, 0.750], [0.250, 0.250, 0.250], [0.250, 0.750, 0.750], [0.750, 0.250, 0.750], [0.750, 0.750, 0.250]]}

8.
{"formula": "Ho4Tm10Th", "functional": "GGA-PBE", "state": "relaxed", "spacegroup": "No. 87", "dos_ef_per_ev_atom": 1.77, "formation_enthalpy_0k_ev_per_atom": 0.40, "lattice": [[-4.835, 4.835, 5.127], [4.835, -4.835, 5.127], [4.835, 4.835, -5.127]], "species": ["Ho", "Ho", "Ho", "Ho", "Tm", "Tm", "Tm", "Tm", "Tm", "Tm", "Tm", "Tm", "Tm", "Tm", "Th"], "frac_coords": [[0.073, 0.335, 0.408], [0.335, 0.927, 0.263], [0.665, 0.073, 0.737], [0.927, 0.665, 0.592], [0.126, 0.449, 0.900], [0.226, 0.126, 0.677], [0.250, 0.750, 0.500], [0.449, 0.550, 0.323], [0.450, 0.774, 0.900], [0.550, 0.226, 0.100], [0.551, 0.450, 0.677], [0.750, 0.250, 0.500], [0.774, 0.874, 0.323], [0.874, 0.551, 0.100], [0.000, 0.000, 0.000]]}

9.
{"formula": "PmThIrPd", "functional": "GGA-PBE", "state": "relaxed", "polymorph_energy_ev_per_atom": 0.170, "spacegroup": "No. 216", "dos_ef_per_ev_atom": 1.23, "formation_enthalpy_0k_ev_per_atom": -0.72, "lattice": [[7.162, 0.000, 0.000], [0.000, 7.162, 0.000], [0.000, 0.000, 7.162]], "species": ["Pm", "Pm", "Pm", "Pm", "Th", "Th", "Th", "Th", "Ir", "Ir", "Ir", "Ir", "Pd", "Pd", "Pd", "Pd"], "frac_coords": [[0.000, 0.000, 0.000], [0.000, 0.500, 0.500], [0.500, 0.000, 0.500], [0.500, 0.500, 0.000], [0.000, 0.000, 0.500], [0.000, 0.500, 0.000], [0.500, 0.000, 0.000], [0.500, 0.500, 0.500], [0.250, 0.250, 0.250], [0.250, 0.750, 0.750], [0.750, 0.250, 0.750], [0.750, 0.750, 0.250], [0.250, 0.250, 0.750], [0.250, 0.750, 0.250], [0.750, 0.250, 0.250], [0.750, 0.750, 0.750]]}

10.
{"formula": "TlCd2Pb2", "functional": "GGA-PBE", "state": "relaxed", "polymorph_energy_ev_per_atom": 0.035, "spacegroup": "No. 127", "dos_ef_per_ev_atom": 0.40, "formation_enthalpy_0k_ev_per_atom": 0.08, "lattice": [[9.338, 0.000, 0.000], [0.000, 9.338, 0.000], [0.000, 0.000, 3.395]], "species": ["Tl", "Tl", "Cd", "Cd", "Cd", "Cd", "Pb", "Pb", "Pb", "Pb"], "frac_coords": [[0.000, 0.000, 0.000], [0.500, 0.500, 0.000], [0.159, 0.341, 0.500], [0.341, 0.841, 0.500], [0.659, 0.159, 0.500], [0.841, 0.659, 0.500], [0.138, 0.638, 0.000], [0.362, 0.138, 0.000], [0.638, 0.862, 0.000], [0.862, 0.362, 0.000]]}

11.
{"formula": "RbPrTiSe4", "functional": "GGA-PBE", "state": "relaxed", "e_form_raw_ev_per_atom": -1.463, "spacegroup": "No. 11", "dos_ef_per_ev_atom": 0.00, "lattice": [[7.035, 0.000, 0.000], [0.000, 7.066, 0.000], [-2.966, 0.000, 9.099]], "species": ["Rb", "Rb", "Pr", "Pr", "Ti", "Ti", "Se", "Se", "Se", "Se", "Se", "Se", "Se", "Se"], "frac_coords": [[0.230, 0.250, 0.437], [0.770, 0.750, 0.563], [0.278, 0.250, 0.953], [0.722, 0.750, 0.047], [0.276, 0.750, 0.173], [0.724, 0.250, 0.827], [0.072, 0.750, 0.329], [0.075, 0.750, 0.925], [0.489, 0.508, 0.788], [0.489, 0.992, 0.788], [0.511, 0.008, 0.212], [0.511, 0.492, 0.212], [0.925, 0.250, 0.075], [0.928, 0.250, 0.671]]}

12.
{"formula": "Li2OsBr", "functional": "GGA-PBE", "state": "relaxed", "e_form_raw_ev_per_atom": 0.341, "polymorph_energy_ev_per_atom": 0.321, "spacegroup": "No. 8", "dos_ef_per_ev_atom": 0.76, "lattice": [[10.470, 0.000, 0.000], [0.000, 2.864, 0.000], [-1.181, 0.000, 4.534]], "species": ["Li", "Li", "Li", "Li", "Os", "Os", "Br", "Br"], "frac_coords": [[0.000, 0.000, 0.000], [0.192, 0.000, 0.609], [0.500, 0.500, 0.000], [0.692, 0.500, 0.609], [0.451, 0.000, 0.483], [0.951, 0.500, 0.483], [0.267, 0.500, 0.165], [0.767, 0.000, 0.165]]}

13.
{"formula": "BeV2ZnN", "functional": "GGA-PBE", "state": "relaxed", "e_form_raw_ev_per_atom": 1.843, "polymorph_energy_ev_per_atom": 1.905, "spacegroup": "No. 123", "dos_ef_per_ev_atom": 1.10, "lattice": [[4.595, 0.000, 0.000], [0.000, 4.595, 0.000], [0.000, 0.000, 3.839]], "species": ["Be", "V", "V", "Zn", "N"], "frac_coords": [[0.000, 0.000, 0.000], [0.000, 0.500, 0.500], [0.500, 0.000, 0.500], [0.000, 0.000, 0.500], [0.500, 0.500, 0.000]]}

14.
{"formula": "PmEuTmTl", "functional": "GGA-PBE", "state": "relaxed", "spacegroup": "No. 216", "dos_ef_per_ev_atom": 1.66, "formation_enthalpy_0k_ev_per_atom": 0.02, "lattice": [[7.893, 0.000, 0.000], [0.000, 7.893, 0.000], [0.000, 0.000, 7.893]], "species": ["Pm", "Pm", "Pm", "Pm", "Eu", "Eu", "Eu", "Eu", "Tm", "Tm", "Tm", "Tm", "Tl", "Tl", "Tl", "Tl"], "frac_coords": [[0.000, 0.000, 0.000], [0.000, 0.500, 0.500], [0.500, 0.000, 0.500], [0.500, 0.500, 0.000], [0.250, 0.250, 0.750], [0.250, 0.750, 0.250], [0.750, 0.250, 0.250], [0.750, 0.750, 0.750], [0.250, 0.250, 0.250], [0.250, 0.750, 0.750], [0.750, 0.250, 0.750], [0.750, 0.750, 0.250], [0.000, 0.000, 0.500], [0.000, 0.500, 0.000], [0.500, 0.000, 0.000], [0.500, 0.500, 0.500]]}

15.
{"formula": "SmY3Er2P6", "functional": "GGA-PBE", "state": "relaxed", "spacegroup": "No. 12", "dos_ef_per_ev_atom": 0.14, "formation_enthalpy_0k_ev_per_atom": -1.61, "lattice": [[3.477, -6.022, 0.000], [3.477, 6.022, 0.000], [-2.317, 0.000, 6.558]], "species": ["Sm", "Y", "Y", "Y", "Er", "Er", "P", "P", "P", "P", "P", "P"], "frac_coords": [[0.000, 0.000, 0.000], [0.166, 0.834, 0.500], [0.500, 0.500, 0.500], [0.834, 0.166, 0.500], [0.333, 0.667, 0.000], [0.667, 0.333, 0.000], [0.083, 0.421, 0.250], [0.255, 0.255, 0.751], [0.421, 0.083, 0.250], [0.579, 0.917, 0.750], [0.745, 0.745, 0.249], [0.917, 0.579, 0.750]]}

16.
{"formula": "Ca2InAu", "functional": "GGA-PBE", "state": "relaxed", "spacegroup": "No. 99", "dos_ef_per_ev_atom": 0.46, "formation_enthalpy_0k_ev_per_atom": -0.43, "lattice": [[4.149, 0.000, 0.000], [0.000, 4.149, 0.000], [0.000, 0.000, 6.635]], "species": ["Ca", "Ca", "In", "Au"], "frac_coords": [[0.000, 0.000, 0.000], [0.500, 0.500, 0.351], [0.000, 0.000, 0.537], [0.500, 0.500, 0.860]]}

17.
{"formula": "Cs3UI8", "functional": "GGA-PBE", "state": "relaxed", "e_form_raw_ev_per_atom": -1.110, "spacegroup": "No. 186", "dos_ef_per_ev_atom": 0.69, "lattice": [[11.690, 0.000, 0.000], [-5.845, 10.124, 0.000], [0.000, 0.000, 10.432]], "species": ["Cs", "Cs", "Cs", "Cs", "Cs", "Cs", "U", "U", "I", "I", "I", "I", "I", "I", "I", "I", "I", "I", "I", "I", "I", "I", "I", "I"], "frac_coords": [[0.151, 0.302, 0.000], [0.151, 0.849, 0.000], [0.302, 0.151, 0.500], [0.698, 0.849, 0.000], [0.849, 0.151, 0.500], [0.849, 0.698, 0.500], [0.333, 0.667, 0.583], [0.667, 0.333, 0.083], [0.000, 0.000, 0.247], [0.000, 0.000, 0.747], [0.051, 0.525, 0.670], [0.218, 0.435, 0.398], [0.218, 0.782, 0.398], [0.333, 0.667, 0.902], [0.435, 0.218, 0.898], [0.475, 0.525, 0.670], [0.475, 0.949, 0.670], [0.525, 0.051, 0.170], [0.525, 0.475, 0.170], [0.565, 0.782, 0.398], [0.667, 0.333, 0.402], [0.782, 0.218, 0.898], [0.782, 0.565, 0.898], [0.949, 0.475, 0.170]]}

18.
{"formula": "BaUAs2", "functional": "GGA-PBE", "state": "relaxed", "polymorph_energy_ev_per_atom": 0.263, "spacegroup": "No. 62", "dos_ef_per_ev_atom": 2.07, "formation_enthalpy_0k_ev_per_atom": -0.64, "lattice": [[6.055, 0.000, 0.000], [0.000, 4.697, 0.000], [0.000, 0.000, 18.861]], "species": ["Ba", "Ba", "Ba", "Ba", "U", "U", "U", "U", "As", "As", "As", "As", "As", "As", "As", "As"], "frac_coords": [[0.250, 0.250, 0.053], [0.250, 0.750, 0.553], [0.750, 0.250, 0.447], [0.750, 0.750, 0.947], [0.245, 0.250, 0.823], [0.255, 0.750, 0.323], [0.745, 0.250, 0.677], [0.755, 0.750, 0.177], [0.250, 0.250, 0.407], [0.250, 0.250, 0.676], [0.250, 0.750, 0.176], [0.250, 0.750, 0.907], [0.750, 0.250, 0.093], [0.750, 0.250, 0.824], [0.750, 0.750, 0.324], [0.750, 0.750, 0.593]]}

19.
{"formula": "Ac4AgN", "functional": "GGA-PBE", "state": "relaxed", "e_form_raw_ev_per_atom": -0.377, "polymorph_energy_ev_per_atom": 0.023, "spacegroup": "No. 141", "dos_ef_per_ev_atom": 1.30, "lattice": [[-5.091, 5.091, 4.460], [5.091, -5.091, 4.460], [5.091, 5.091, -4.460]], "species": ["Ac", "Ac", "Ac", "Ac", "Ac", "Ac", "Ac", "Ac", "Ag", "Ag", "N", "N"], "frac_coords": [[0.222, 0.275, 0.553], [0.222, 0.669, 0.947], [0.275, 0.222, 0.053], [0.331, 0.778, 0.553], [0.669, 0.222, 0.447], [0.725, 0.778, 0.947], [0.778, 0.331, 0.053], [0.778, 0.725, 0.447], [0.125, 0.875, 0.250], [0.875, 0.125, 0.750], [0.375, 0.625, 0.750], [0.625, 0.375, 0.250]]}

20.
{"formula": "InPb2Se2", "functional": "GGA-PBE", "state": "relaxed", "e_form_raw_ev_per_atom": -0.215, "polymorph_energy_ev_per_atom": 0.070, "spacegroup": "No. 139", "dos_ef_per_ev_atom": 0.32, "lattice": [[5.653, 0.000, 0.000], [0.000, 5.653, 0.000], [0.000, 0.000, 10.333]], "species": ["In", "In", "Pb", "Pb", "Pb", "Pb", "Se", "Se", "Se", "Se"], "frac_coords": [[0.000, 0.000, 0.000], [0.500, 0.500, 0.500], [0.000, 0.000, 0.343], [0.000, 0.000, 0.657], [0.500, 0.500, 0.157], [0.500, 0.500, 0.843], [0.000, 0.500, 0.250], [0.000, 0.500, 0.750], [0.500, 0.000, 0.250], [0.500, 0.000, 0.750]]}

21.
{"formula": "NpNiPt", "functional": "GGA-PBE", "state": "relaxed", "polymorph_energy_ev_per_atom": 0.325, "spacegroup": "No. 40", "dos_ef_per_ev_atom": 1.87, "formation_enthalpy_0k_ev_per_atom": -0.10, "lattice": [[5.460, 0.000, 0.000], [0.000, 5.010, 0.000], [0.000, 0.000, 7.727]], "species": ["Np", "Np", "Np", "Np", "Ni", "Ni", "Ni", "Ni", "Pt", "Pt", "Pt", "Pt"], "frac_coords": [[0.250, 0.077, 0.000], [0.250, 0.577, 0.500], [0.750, 0.423, 0.500], [0.750, 0.923, 0.000], [0.250, 0.096, 0.361], [0.250, 0.596, 0.861], [0.750, 0.404, 0.861], [0.750, 0.904, 0.361], [0.000, 0.000, 0.663], [0.000, 0.500, 0.163], [0.500, 0.000, 0.663], [0.500, 0.500, 0.163]]}

22.
{"formula": "TbTlSb2", "functional": "GGA-PBE", "state": "relaxed", "e_form_raw_ev_per_atom": -0.408, "polymorph_energy_ev_per_atom": 0.085, "spacegroup": "No. 123", "dos_ef_per_ev_atom": 0.44, "lattice": [[5.012, 0.000, 0.000], [0.000, 5.012, 0.000], [0.000, 0.000, 4.388]], "species": ["Tb", "Tl", "Sb", "Sb"], "frac_coords": [[0.000, 0.000, 0.000], [0.500, 0.500, 0.000], [0.000, 0.500, 0.500], [0.500, 0.000, 0.500]]}

23.
{"formula": "LiZnCr", "functional": "GGA-PBE", "state": "relaxed", "polymorph_energy_ev_per_atom": 0.066, "spacegroup": "No. 38", "dos_ef_per_ev_atom": 0.54, "formation_enthalpy_0k_ev_per_atom": 0.14, "lattice": [[4.432, 0.000, 0.000], [0.000, 3.002, 0.000], [0.000, 0.000, 12.552]], "species": ["Li", "Li", "Li", "Li", "Zn", "Zn", "Zn", "Zn", "Cr", "Cr", "Cr", "Cr"], "frac_coords": [[0.000, 0.000, 0.000], [0.000, 0.000, 0.329], [0.000, 0.500, 0.500], [0.000, 0.500, 0.829], [0.000, 0.000, 0.660], [0.000, 0.500, 0.160], [0.500, 0.000, 0.846], [0.500, 0.500, 0.346], [0.500, 0.000, 0.161], [0.500, 0.000, 0.523], [0.500, 0.500, 0.023], [0.500, 0.500, 0.661]]}